Record 1
The following is a PBE-GGA calculation of a relaxed Pr2SmErS5 crystal, from Alexandria.

Summary:
Energy relative to the elements, uncorrected (eV/atom): -1.51
SG: P4/mmm

Cell lengths 4.8500, 4.8500, 10.4118 Å; angles 90.00, 90.00, 90.00 degrees
Closest atoms and distances in Å follow each position.
Fractional coordinates of all 9 atoms:
Pr 0.0000 0.0000 0.1987  9 S 3.14-3.47
Pr 0.0000 0.0000 0.8013  9 S 3.14-3.47
Sm 0.5000 0.5000 0.5000  2 S 2.59
Er 0.5000 0.5000 0.0000  6 S 2.43-2.61
S 0.0000 0.0000 0.5000  2 Pr 3.14, 4 Sm 3.43
S 0.0000 0.5000 0.0000  2 Er 2.43
S 0.5000 0.0000 0.0000  2 Er 2.43
S 0.5000 0.5000 0.2511  1 Sm 2.59, 1 Er 2.61
S 0.5000 0.5000 0.7489  1 Sm 2.59, 1 Er 2.61

Record 2
The following is a PBE-GGA calculation of a relaxed Re2PbO8 crystal, from Alexandria.

Summary:
Energy relative to the elements, uncorrected (eV/atom): -1.53
SG: C2/m

Cell lengths 6.3683, 6.3683, 6.3470 Å; angles 106.21, 106.21, 55.76 degrees
Closest atoms and distances in Å follow each position.
Fractional coordinates of all 11 atoms:
Re 0.1970 0.1970 0.1888  4 O 1.74-1.77
Re 0.8030 0.8030 0.8112  4 O 1.74-1.77
Pb 0.0000 0.0000 0.5000  6 O 2.54-2.69
O 0.0972 0.6352 0.7109  1 Re 1.76
O 0.1499 0.1499 0.8944  1 Re 1.77
O 0.3597 0.3597 0.2959  1 Re 1.74
O 0.3648 0.9028 0.2891  1 Re 1.76
O 0.6352 0.0972 0.7109  1 Re 1.76
O 0.6403 0.6403 0.7041  1 Re 1.74
O 0.8501 0.8501 0.1056  1 Re 1.77
O 0.9028 0.3648 0.2891  1 Re 1.76

Record 3
The following is a PBE-GGA calculation of a relaxed DyZrCu crystal, from Alexandria.

Summary:
ΔH_f (0 K) (eV/atom): 0.135
Energy above the most stable polymorph in this dataset (meV per atom): 239
SG: P-6m2

Cell lengths 4.4278, 4.4278, 4.0939 Å; angles 90.00, 90.00, 120.00 degrees
Closest atoms and distances in Å follow each position.
Fractional coordinates of all 3 atoms:
Dy 0.0000 0.0000 0.0000  6 Zr 3.27, 6 Cu 3.27
Zr 0.6667 0.3333 0.5000  3 Cu 2.56
Cu 0.3333 0.6667 0.5000  3 Zr 2.56

Record 4
The following is a PBE-GGA calculation of a relaxed ZnAgMo2 crystal, from Alexandria.

Summary:
ΔH_f (0 K) (eV/atom): 0.323
SG: Cm

Cell lengths 4.8346, 4.8346, 5.2099 Å; angles 94.65, 94.65, 31.74 degrees
Closest atoms and distances in Å follow each position.
Fractional coordinates of all 4 atoms:
Zn 0.0000 0.0000 0.0000  2 Zn 2.64, 3 Ag 2.70-2.82, 5 Mo 2.85-2.91
Ag 0.2519 0.2519 0.7774  2 Ag 2.64, 3 Zn 2.70-2.82, 5 Mo 2.90-2.94
Mo 0.5040 0.5040 0.4856  5 Mo 2.59-2.88, 2 Zn 2.85, 1 Ag 2.90
Mo 0.7462 0.7462 0.2725  5 Mo 2.59-2.88, 1 Zn 2.86, 2 Ag 2.90

Record 5
The following is a PBE-GGA calculation of a relaxed LaZnRe2 crystal, from Alexandria.

Summary:
ΔH_f (0 K) (eV/atom): 0.947
SG: I-42d

Cell lengths 6.1428, 6.1428, 6.1428 Å; angles 100.48, 100.48, 129.52 degrees
Closest atoms and distances in Å follow each position.
Fractional coordinates of all 8 atoms:
La 0.0000 0.0000 0.0000  2 Zn 2.62
La 0.7500 0.2500 0.5000  2 Zn 2.62
Zn 0.2500 0.7500 0.5000  4 Re 2.56, 2 La 2.62
Zn 0.5000 0.5000 0.0000  4 Re 2.56, 2 La 2.62
Re 0.1836 0.6250 0.0586  2 Zn 2.56, 2 Re 2.78
Re 0.3750 0.4336 0.5586  2 Zn 2.56, 2 Re 2.78
Re 0.5664 0.1250 0.9414  2 Zn 2.56, 2 Re 2.78
Re 0.8750 0.8164 0.4414  2 Zn 2.56, 2 Re 2.78

Record 6
The following is a PBE-GGA calculation of a relaxed NaSrZn2Rh crystal, from Alexandria.

Summary:
ΔH_f (0 K) (eV/atom): -0.082
SG: P4/mmm

Cell lengths 4.9005, 4.9005, 5.1727 Å; angles 90.00, 90.00, 90.00 degrees
Closest atoms and distances in Å follow each position.
Fractional coordinates of all 5 atoms:
Na 0.0000 0.0000 0.0000  2 Rh 2.59
Sr 0.5000 0.5000 0.0000  4 Na 3.47, 8 Zn 3.56
Zn 0.0000 0.5000 0.5000  2 Rh 2.45
Zn 0.5000 0.0000 0.5000  2 Rh 2.45
Rh 0.0000 0.0000 0.5000  4 Zn 2.45, 2 Na 2.59

Record 7
The following is a PBE-GGA calculation of a relaxed YMg2In crystal, from Alexandria.

Summary:
ΔH_f (0 K) (eV/atom): -0.057
SG: R3m

Cell lengths 10.8354, 10.8354, 10.8354 Å; angles 17.80, 17.80, 17.80 degrees
Closest atoms and distances in Å follow each position.
Fractional coordinates of all 4 atoms:
Y 0.0000 0.0000 0.0000  6 Y 3.35, 3 In 3.37, 3 Mg 3.41
Mg 0.2457 0.2457 0.2457  9 Mg 3.25-3.35, 3 Y 3.41
Mg 0.4974 0.4974 0.4974  3 In 3.16, 9 Mg 3.25-3.35
In 0.7528 0.7528 0.7528  3 Mg 3.16, 6 In 3.35, 3 Y 3.37

Record 8
The following is a PBE-GGA calculation of a relaxed Na5In2Hg crystal, from Alexandria.

Summary:
ΔH_f (0 K) (eV/atom): -0.087
Energy above the most stable polymorph in this dataset (meV per atom): 17
SG: Pbam

Cell lengths 6.8598, 13.7544, 4.7465 Å; angles 90.00, 90.00, 90.00 degrees
Closest atoms and distances in Å follow each position.
Fractional coordinates of all 16 atoms:
Na 0.0000 0.0000 0.0000  6 Na 3.35-3.55, 4 In 3.42, 2 Hg 3.43
Na 0.0193 0.2581 0.0000  7 Na 3.32-3.55, 1 Hg 3.33, 4 In 3.39-3.55
Na 0.2405 0.8770 0.5000  4 In 3.28-3.61, 6 Na 3.32-3.50, 2 Hg 3.41
Na 0.2595 0.3770 0.5000  4 In 3.28-3.61, 6 Na 3.32-3.50, 2 Hg 3.41
Na 0.4807 0.7581 0.0000  7 Na 3.32-3.55, 1 Hg 3.33, 4 In 3.39-3.55
Na 0.5000 0.5000 0.0000  6 Na 3.35-3.55, 4 In 3.42, 2 Hg 3.43
Na 0.5193 0.2419 0.0000  7 Na 3.32-3.55, 1 Hg 3.33, 4 In 3.39-3.55
Na 0.7405 0.6230 0.5000  4 In 3.28-3.61, 6 Na 3.32-3.50, 2 Hg 3.41
Na 0.7595 0.1230 0.5000  4 In 3.28-3.61, 6 Na 3.32-3.50, 2 Hg 3.41
Na 0.9807 0.7419 0.0000  7 Na 3.32-3.55, 1 Hg 3.33, 4 In 3.39-3.55
In 0.2241 0.6146 0.5000  2 Hg 3.24, 10 Na 3.28-3.61
In 0.2759 0.1146 0.5000  2 Hg 3.24, 10 Na 3.28-3.61
In 0.7241 0.8854 0.5000  2 Hg 3.24, 10 Na 3.28-3.61
In 0.7759 0.3854 0.5000  2 Hg 3.24, 10 Na 3.28-3.61
Hg 0.0000 0.5000 0.0000  4 In 3.24, 8 Na 3.33-3.43
Hg 0.5000 0.0000 0.0000  4 In 3.24, 8 Na 3.33-3.43

Record 9
The following is a PBE-GGA calculation of a relaxed Dy2Sn2Hg crystal, from Alexandria.

Summary:
ΔH_f (0 K) (eV/atom): -0.549
SG: C2/m

Cell lengths 6.2415, 6.2415, 10.9480 Å; angles 111.70, 111.70, 42.36 degrees
Closest atoms and distances in Å follow each position.
Fractional coordinates of all 10 atoms:
Dy 0.0082 0.0082 0.1786  6 Sn 3.18-3.38, 3 Hg 3.31-3.40
Dy 0.1793 0.1793 0.6071  4 Sn 3.11-3.39, 2 Hg 3.16
Dy 0.8207 0.8207 0.3929  4 Sn 3.11-3.39, 2 Hg 3.16
Dy 0.9918 0.9918 0.8214  6 Sn 3.18-3.38, 3 Hg 3.31-3.40
Sn 0.3587 0.3587 0.9381  3 Hg 2.89-3.01, 1 Sn 3.02
Sn 0.4448 0.4448 0.6026  1 Hg 2.95, 1 Sn 3.00, 5 Dy 3.11-3.18
Sn 0.5552 0.5552 0.3974  1 Hg 2.95, 1 Sn 3.00, 5 Dy 3.11-3.18
Sn 0.6413 0.6413 0.0619  3 Hg 2.89-3.01, 1 Sn 3.02
Hg 0.3016 0.3016 0.1831  4 Sn 2.89-3.01, 2 Dy 3.16
Hg 0.6984 0.6984 0.8169  4 Sn 2.89-3.01, 2 Dy 3.16

Record 10
The following is a PBE-GGA calculation of a relaxed TiMnV crystal, from Alexandria.

Summary:
ΔH_f (0 K) (eV/atom): -0.220
Energy above the most stable polymorph in this dataset (meV per atom): 0
SG: Imma

Cell lengths 4.8674, 4.8674, 4.8674 Å; angles 120.27, 118.20, 91.34 degrees
Closest atoms and distances in Å follow each position.
Fractional coordinates of all 6 atoms:
Ti 0.3714 0.1214 0.2500  6 Mn 2.80-2.91, 6 V 2.85-2.86, 4 Ti 2.99-3.00
Ti 0.6286 0.8786 0.7500  6 Mn 2.80-2.91, 6 V 2.85-2.86, 4 Ti 2.99-3.00
Mn 0.0000 0.0000 0.5000  2 Mn 2.42, 4 V 2.43
Mn 0.0000 0.5000 0.0000  2 Mn 2.42, 4 V 2.43
V 0.0000 0.5000 0.5000  4 Mn 2.43, 2 V 2.50
V 0.5000 0.5000 0.0000  4 Mn 2.43, 2 V 2.50

Record 11
The following is a PBE-GGA calculation of a relaxed Sc4CoPt crystal, from Alexandria.

Summary:
ΔH_f (0 K) (eV/atom): -0.488
Energy above the most stable polymorph in this dataset (meV per atom): 101
SG: P4/mmm

Cell lengths 4.4489, 4.4489, 6.3907 Å; angles 90.00, 90.00, 90.00 degrees
Closest atoms and distances in Å follow each position.
Fractional coordinates of all 6 atoms:
Sc 0.0000 0.5000 0.2367  2 Co 2.69, 2 Pt 2.79
Sc 0.0000 0.5000 0.7633  2 Co 2.69, 2 Pt 2.79
Sc 0.5000 0.0000 0.2367  2 Co 2.69, 2 Pt 2.79
Sc 0.5000 0.0000 0.7633  2 Co 2.69, 2 Pt 2.79
Co 0.0000 0.0000 0.0000  8 Sc 2.69
Pt 0.5000 0.5000 0.5000  8 Sc 2.79

Record 12
The following is a PBE-GGA calculation of a relaxed Ho3Cu11 crystal, from Alexandria.

Summary:
ΔH_f (0 K) (eV/atom): -0.204
SG: Immm

Cell lengths 7.7621, 7.7621, 7.7621 Å; angles 148.92, 111.79, 76.84 degrees
Closest atoms and distances in Å follow each position.
Fractional coordinates of all 14 atoms:
Ho 0.0000 0.0000 0.0000  4 Cu 2.85
Ho 0.3066 0.3066 0.0000  14 Cu 2.90-3.14
Ho 0.6934 0.6934 0.0000  14 Cu 2.90-3.14
Cu 0.0318 0.6752 0.3566  5 Cu 2.48-2.56
Cu 0.1573 0.8780 0.2793  6 Cu 2.43-2.56
Cu 0.2920 0.5000 0.7920  8 Cu 2.49-2.76
Cu 0.3186 0.6752 0.6434  5 Cu 2.48-2.56
Cu 0.4013 0.1220 0.2793  6 Cu 2.43-2.56
Cu 0.5000 0.0000 0.5000  4 Cu 2.43
Cu 0.5987 0.8780 0.7207  6 Cu 2.43-2.56
Cu 0.6814 0.3248 0.3566  5 Cu 2.48-2.56
Cu 0.7080 0.5000 0.2080  8 Cu 2.49-2.76
Cu 0.8427 0.1220 0.7207  6 Cu 2.43-2.56
Cu 0.9682 0.3248 0.6434  5 Cu 2.48-2.56

How do the records compare in DOS at the Fermi energy? In the order shown, they have 0.5970; 0.0000; 1.0124; 0.6293; 1.7419; 0.4518; 0.5095; 0.3763; 0.6567; 0.7722; 1.1643; 0.3769 states/eV per atom.
How do the records compare in spin magnetization? In the order shown, they have 0.0; 0.0; 0.0; 0.0; 0.0; 0.0; 0.0; 0.0; 0.0; 0.0; 0.0; 0.0 μB per cell.